(1)
Entry from Alexandria via LeMat-Bulk: crystalline Ag3AsPt at its relaxed geometry (PBE-GGA).

abc: 5.0618 5.0618 5.0618
angles: 90.00 90.00 90.00
Element x y z (fractional)
Ag 0.0000 0.0000 0.5000
Ag 0.0000 0.5000 0.0000
Ag 0.5000 0.0000 0.0000
As 0.5000 0.5000 0.5000
Pt 0.0000 0.0000 0.0000

Output
The value obtained for the offset from the most stable computed form is 264 meV per atom. The space group is Pm-3m. Its volume is 130 Å³ per cell.

***

(2)
Entry from Alexandria via LeMat-Bulk: crystalline LaCuRh at its relaxed geometry (PBE-GGA).

abc: 5.4848 5.4848 5.4848
angles: 126.48 116.85 87.36
Element x y z (fractional)
La 0.3701 0.1201 0.2500
La 0.6299 0.8799 0.7500
Cu 0.0000 0.0000 0.5000
Cu 0.0000 0.5000 0.0000
Rh 0.0000 0.5000 0.5000
Rh 0.5000 0.5000 0.0000

Output
The value obtained for the offset from the most stable computed form is 0 meV per atom. The space group is Imma. Its volume is 113 Å³ per cell.

***

(3)
Entry from Alexandria via LeMat-Bulk: crystalline Pr5NdHoEr2 at its relaxed geometry (PBE-GGA).

abc: 10.6718 10.6718 10.8224
angles: 90.00 90.00 149.14
Element x y z (fractional)
Pr 0.0154 0.9846 0.5000
Pr 0.2811 0.7189 0.7892
Pr 0.2950 0.7050 0.1822
Pr 0.3887 0.6113 0.5039
Pr 0.4813 0.5187 0.2240
Pr 0.5187 0.4813 0.7240
Pr 0.6113 0.3887 0.0039
Pr 0.7050 0.2950 0.6822
Pr 0.7189 0.2811 0.2892
Pr 0.9846 0.0154 0.0000
Nd 0.2008 0.7992 0.4888
Nd 0.7992 0.2008 0.9888
Ho 0.4089 0.5911 0.9409
Ho 0.5911 0.4089 0.4409
Er 0.1102 0.8898 0.2203
Er 0.1161 0.8839 0.7918
Er 0.8839 0.1161 0.2918
Er 0.8898 0.1102 0.7203

Output
The space group is Cmc2_1. Its volume is 632 Å³ per cell. For the uncorrected energy, the calculation gives -82.2 eV/cell.